## NaSbCCl2 (GGA-PBEsol)

Data for a geometry-optimized NaSbCCl2 structure.

Computed properties:
Symmetry   P4/mmm, No. 123
Raw formation energy   281 meV per atom
Spin magnetization   0.67 Bohr magnetons per cell
Energy   -3.642 eV/atom

The structure in extended XYZ format:
```
5
Lattice="4.0350 0.0000 0.0000 0.0000 5.5197 0.0000 0.0000 0.0000 5.5197" Properties=species:S:1:pos:R:3 pbc="T T T"
Sb 0.0000 0.0000 0.0000
C 2.0175 0.0000 0.0000
Na 2.0175 2.7598 2.7598
Cl 0.0000 0.0000 2.7598
Cl 0.0000 2.7598 0.0000
```